[1]
VASP calculation (PBE) on a relaxed Tl2BiI crystal. Values from VASP.

Structure (Quantum ESPRESSO input):
```
&SYSTEM
  ibrav = 0, nat = 4, ntyp = 3
/
ATOMIC_SPECIES
Tl 204.38 Tl.upf
Bi 208.98 Bi.upf
I 126.90 I.upf
ATOMIC_POSITIONS crystal
Tl 0.234 0.234 0.234
Tl 0.766 0.766 0.766
Bi 0.500 0.500 0.500
I 0.000 0.000 0.000
CELL_PARAMETERS angstrom
2.447 1.413 7.442
-2.447 1.413 7.442
0.000 -2.826 7.442
```

Values from the calculation:
ΔE_f (raw) = -0.08 eV per atom
polymorph energy (0 for the lowest one) = 68 meV per atom

=====

[2]
VASP calculation (PBE) on a relaxed HfRe2SiW crystal. Values from VASP.

Structure (Quantum ESPRESSO input):
```
&SYSTEM
  ibrav = 0, nat = 5, ntyp = 4
/
ATOMIC_SPECIES
Hf 178.49 Hf.upf
Re 186.21 Re.upf
Si 28.09 Si.upf
W 183.84 W.upf
ATOMIC_POSITIONS crystal
Hf 0.000 0.000 0.000
Re 0.000 0.500 0.000
Re 0.500 0.000 0.000
Si 0.500 0.500 0.500
W 0.000 0.000 0.500
CELL_PARAMETERS angstrom
4.789 0.000 0.000
0.000 4.789 0.000
0.000 0.000 4.827
```

Values from the calculation:
ΔE_f (raw) = 2.72 eV per atom

=====

[3]
VASP calculation (PBE) on a relaxed Mg2HgBi crystal. Values from VASP.

Structure (Quantum ESPRESSO input):
```
&SYSTEM
  ibrav = 0, nat = 4, ntyp = 3
/
ATOMIC_SPECIES
Mg 24.30 Mg.upf
Hg 200.59 Hg.upf
Bi 208.98 Bi.upf
ATOMIC_POSITIONS crystal
Mg 0.000 0.000 0.000
Mg 0.194 0.194 0.194
Hg 0.590 0.590 0.590
Bi 0.775 0.775 0.775
CELL_PARAMETERS angstrom
2.336 1.349 5.629
-2.336 1.349 5.629
0.000 -2.697 5.629
```

Values from the calculation:
DFT formation energy = -0.11 eV per atom
polymorph energy (0 for the lowest one) = 70 meV per atom